(1)
Dy2AgPd PBE-GGA optimized geometry; space-group type = P4/mmm; formation energy = -0.600 eV per atom; density of states at the Fermi level = 3.67 states/eV/cell; DFT total energy = -4.9125 eV/atom; density = 9.80 Mg/m³
1.0
3.5617 0.0000 0.0000
0.0000 3.5617 0.0000
0.0000 0.0000 7.2026
Dy Ag Pd
2 1 1
Cartesian
0.0000 0.0000 1.7242
0.0000 0.0000 5.4784
1.7808 1.7808 3.6013
1.7808 1.7808 0.0000

---

(2)
Ba2NaSb2 PBE-GGA optimized geometry; energy relative to the elements, uncorrected = -0.754 eV/atom; space-group type = P4/mbm; density of states at the Fermi level = 2.39 states/eV/cell; DFT total energy = -3.4362 eV/atom; density = 4.48 Mg/m³
1.0
-4.3892 -8.6871 -1.3927
5.8887 -4.0570 6.7479
-2.7618 0.9203 2.9635
Ba Sb Na
4 4 2
Cartesian
-3.0278 -8.5385 2.7415
1.7654 -3.2854 5.5772
-2.1908 -3.2596 1.8822
0.9285 -8.5642 6.4365
3.4451 -6.2843 5.1623
-1.9456 -6.4598 0.1929
1.2376 -2.7974 2.0221
0.2619 -9.9468 3.3331
0.7498 -6.3721 2.6776
0.0000 0.0000 0.0000

---

(3)
CaOsPt2 PBE-GGA optimized geometry; space-group type = C2/m; formation energy = 0.053 eV per atom; density of states at the Fermi level = 4.07 states/eV/cell; DFT total energy = -6.2754 eV/atom; density = 14.79 Mg/m³
1.0
4.8565 0.0035 -0.0040
4.0561 2.6708 -0.0040
0.7339 0.2202 5.3757
Pt Ca Os
2 1 1
Cartesian
4.8843 1.4656 2.5031
8.8515 2.6560 0.1728
7.2349 2.1709 4.0258
2.4116 0.7236 1.3419

---

(4)
Ce2HCl8 PBE-GGA optimized geometry; space-group type = C2/m; DFT total energy = -4.2258 eV/atom; density = 3.31 Mg/m³
1.0
-3.9302 2.3568 2.9190
-5.4041 -6.4581 0.3103
0.0103 -5.2450 5.4348
H Cl Ce
1 8 2
Cartesian
-1.9651 1.1784 1.4595
-5.3863 -3.7804 6.7372
-3.3694 -3.0151 4.1407
-3.9176 0.3653 4.1814
-3.9377 -5.5658 1.9270
-6.0676 -2.1267 2.3051
-5.4064 -9.7115 4.4828
-3.2667 -1.9746 0.9243
-5.9545 -6.3311 4.5235
-3.6788 -7.7404 3.6686
-1.7150 -3.9627 2.0765

---

(5)
ZnTe PBE-GGA optimized geometry; energy relative to the elements, uncorrected = -0.315 eV/atom; space-group type = I-43m; DFT total energy = -2.5223 eV/atom; density = 4.25 Mg/m³
1.0
8.4518 0.0000 0.0000
0.0000 8.4518 0.0000
0.0000 0.0000 8.4518
Zn Te
8 8
Cartesian
5.5269 5.5269 5.5269
5.5269 2.9249 2.9249
7.1508 1.3010 7.1508
1.3010 7.1508 7.1508
2.9249 2.9249 5.5269
7.1508 7.1508 1.3010
2.9249 5.5269 2.9249
1.3010 1.3010 1.3010
2.8097 5.6421 5.6421
5.6421 5.6421 2.8097
1.4162 1.4162 7.0356
2.8097 2.8097 2.8097
7.0356 1.4162 1.4162
5.6421 2.8097 5.6421
1.4162 7.0356 1.4162
7.0356 7.0356 7.0356

---

(6)
TmLuTi PBE-GGA optimized geometry; space-group type = P-6m2; formation energy = 0.201 eV per atom; density of states at the Fermi level = 4.01 states/eV/cell; DFT total energy = -5.4277 eV/atom; density = 8.62 Mg/m³
1.0
3.2431 0.0000 0.0000
0.0000 5.1840 0.0000
0.0000 -2.5920 4.4895
Ti Lu Tm
1 1 1
Cartesian
0.5395 0.0000 2.9930
0.5418 0.0000 0.0000
2.1617 2.5920 1.4965

---

(7)
SrY3Ru PBE-GGA optimized geometry; space-group type = Amm2; formation energy = 0.239 eV per atom; density of states at the Fermi level = 6.14 states/eV/cell; DFT total energy = -5.8310 eV/atom; density = 4.73 Mg/m³
1.0
3.4992 0.0000 0.0000
0.0000 3.4284 -6.6684
0.0000 3.4284 6.6684
Y Sr Ru
3 1 1
Cartesian
1.7496 5.1542 1.4670
1.7496 1.7027 1.4670
0.0000 3.4284 4.0395
0.0000 3.4284 -1.5453
1.7496 3.4284 6.2010

---

(8)
K2ZrW PBE-GGA optimized geometry; space-group type = P2/m; formation energy = 1.297 eV per atom; density of states at the Fermi level = 3.93 states/eV/cell; DFT total energy = -4.6275 eV/atom; density = 5.66 Mg/m³
1.0
-5.4714 3.5816 -0.9676
-0.5033 -1.4423 -2.4926
-2.9691 -3.9463 2.1820
W K Zr
1 2 1
Cartesian
-3.6038 0.4436 -0.5615
-1.7237 -2.6833 -0.1854
-0.5158 -1.4533 -2.4624
-5.3401 -2.2507 -0.7168